No. 1
Material: Na8Sb2H
Method: DFT, PBE
State: optimized geometry

It has space group C2/m (No. 12), with a = 16.958 Å, b = 5.547 Å, c = 6.814 Å, α = 90.00°, β = 113.22° and γ = 90.00°. The inequivalent atoms are Na at (0.001, 0.000, 0.255), Na at (0.124, 0.500, 0.884), Na at (0.129, 0.500, 0.371), Na at (0.206, 0.000, 0.200), Sb at (0.173, 0.000, 0.674) and H at (0.000, 0.500, 0.000).

For the density of states at the Fermi level, the calculation gives 0.195 states/eV per atom. The calculation puts the electronic total energy at -0.083 Ha/atom.

---

No. 2
Material: NaSb2H2
Method: DFT, PBE
State: optimized geometry

It has space group P4/mbm (No. 127), with a = 7.227 Å, b = 7.227 Å, c = 3.423 Å, α = 90.00°, β = 90.00° and γ = 90.00°. The inequivalent atoms are Na at (0.000, 0.000, 0.000), Sb at (0.136, 0.364, 0.500) and H at (0.105, 0.605, 0.000).

For the density of states at the Fermi level, the calculation gives 0.418 states/eV per atom. The calculation puts the excess energy over the best structure of this formula in the dataset at 336.8 meV/atom. The calculation puts the electronic total energy at -0.104 Ha/atom.